First-principles (PBE) data for a relaxed Ba6As2Br3F crystal, as listed in the Alexandria database.

DOS at the Fermi energy: 4.49 states/eV/f.u.
raw formation energy: -1.75 eV/atom
symmetry: C2/m (12)

Cell: 8.0064 8.0064 8.3132 Å, 99.34 99.34 119.99°
Closest atoms and distances in Å follow each position.
Atoms (fractional coordinates):
Ba  0.9266  0.6002  0.7799  1 F 3.13, 2 As 3.21, 3 Br 3.42-3.45
Ba  0.3998  0.0734  0.2201  1 F 3.13, 2 As 3.21, 3 Br 3.42-3.45
Ba  0.0734  0.3998  0.2201  1 F 3.13, 2 As 3.21, 3 Br 3.42-3.45
Ba  0.7463  0.7463  0.2245  1 F 3.17, 2 As 3.21, 3 Br 3.47-3.50
Ba  0.6002  0.9266  0.7799  1 F 3.13, 2 As 3.21, 3 Br 3.42-3.45
Ba  0.2537  0.2537  0.7755  1 F 3.17, 2 As 3.21, 3 Br 3.47-3.50
As  0.3340  0.6660  0.0000  6 Ba 3.21
As  0.6660  0.3340  0.0000  6 Ba 3.21
F  0.0000  0.0000  0.0000  6 Ba 3.13-3.17
Br  0.1747  0.8253  0.5000  6 Ba 3.42-3.50
Br  0.5000  0.5000  0.5000  6 Ba 3.43-3.47
Br  0.8253  0.1747  0.5000  6 Ba 3.42-3.50